The following is a DFT calculation (SCAN) of a PBEsol-optimized structure of Y2MoPdPt.

## Properties
DOS at the Fermi energy, states/eV per atom: 0.69
Raw total energy, eV/cell: -191.9

Cell lengths 5.147, 5.147, 4.931 Å; angles 90.00, 90.00, 90.00 degrees
Space group P4/mmm (No. 123)
Inequivalent atoms, fractional coordinates:
Y1 0.000 0.500 0.000
Mo1 0.000 0.000 0.500
Pd1 0.500 0.500 0.500
Pt1 0.500 0.500 0.000

=====

The following is a DFT calculation (SCAN) of a PBEsol-optimized structure of Cu.

## Properties
DOS at the Fermi energy, states/eV per atom: 0.46
Raw total energy, eV/cell: -30.3

Cell lengths 2.828, 2.828, 2.828 Å; angles 90.00, 90.00, 90.00 degrees
Space group Im-3m (No. 229)
Inequivalent atoms, fractional coordinates:
Cu1 0.000 0.000 0.000

=====

The following is a DFT calculation (SCAN) of a PBEsol-optimized structure of Na3FeOs.

## Properties
DOS at the Fermi energy, states/eV per atom: 0.80
Raw total energy, eV/cell: -93.0

Cell lengths 5.020, 5.020, 5.020 Å; angles 90.00, 90.00, 90.00 degrees
Space group Pm-3m (No. 221)
Inequivalent atoms, fractional coordinates:
Na1 0.000 0.000 0.500
Fe1 0.000 0.000 0.000
Os1 0.500 0.500 0.500

=====

The following is a DFT calculation (SCAN) of a PBEsol-optimized structure of La2Hg.

## Properties
DOS at the Fermi energy, states/eV per atom: 0.94
Raw total energy, eV/cell: -623.3

Cell lengths 3.816, 17.125, 5.565 Å; angles 90.00, 90.00, 90.00 degrees
Space group Cmcm (No. 63)
Inequivalent atoms, fractional coordinates:
La1 0.000 0.079 0.250
La2 0.000 0.231 0.750
Hg1 0.000 0.421 0.250

=====

Copy entry 2 word for word.
The following is a DFT calculation (SCAN) of a PBEsol-optimized structure of Cu.

## Properties
DOS at the Fermi energy, states/eV per atom: 0.46
Raw total energy, eV/cell: -30.3

Cell lengths 2.828, 2.828, 2.828 Å; angles 90.00, 90.00, 90.00 degrees
Space group Im-3m (No. 229)
Inequivalent atoms, fractional coordinates:
Cu1 0.000 0.000 0.000

=====

- What is the formula in the fourth record?
  La2Hg

=====

- Look up the raw total energy of the fourth one.
  -623.3 eV/cell